# 1
A relaxed HoPaSe2 crystal. Source: Alexandria, functional PBE-GGA.

## Properties
Total moment (μB/f.u.): 0.001
Raw formation energy (eV per atom): -1.39
Excess energy over the best structure of this formula in the dataset (meV per atom): 69.9

Cell: 3.772 3.772 7.984 Å, 76.34 76.34 60.00°
Positions (direct):
Ho 0.498 0.498 0.506
Se 0.086 0.086 0.743
Se 0.248 0.248 0.256
Pa 0.668 0.668 0.995


# 2
A relaxed HoPa3Se6 crystal. Source: Alexandria, functional PBE-GGA.

## Properties
Total moment (μB/f.u.): 3.728
Raw formation energy (eV per atom): -1.34

Cell: 6.993 8.789 8.789 Å, 100.96 90.00 90.00°
Positions (direct):
Se 0.206 0.094 0.561
Se 0.706 0.561 0.094
Se 0.206 0.439 0.906
Se 0.741 0.998 0.002
Se 0.706 0.906 0.439
Se 0.133 0.761 0.239
Se 0.241 0.002 0.998
Se 0.633 0.239 0.761
Se 0.678 0.296 0.376
Se 0.678 0.624 0.704
Se 0.178 0.704 0.624
Se 0.178 0.376 0.296
Pa 0.373 0.406 0.594
Pa 0.487 0.273 0.077
Pa 0.873 0.594 0.406
Pa 0.487 0.923 0.727
Pa 0.987 0.077 0.273
Pa 0.987 0.727 0.923
Ho 0.497 0.835 0.165
Ho 0.997 0.165 0.835


# 3
A relaxed Ho2Pa2Se5 crystal. Source: Alexandria, functional PBE-GGA.

## Properties
Total moment (μB/f.u.): 4.690
Raw formation energy (eV per atom): -1.23

Cell: 4.028 4.028 19.266 Å, 90.00 90.00 120.00°
Positions (direct):
Se 0.667 0.333 0.097
Se 0.667 0.333 0.671
Se 0.333 0.667 0.903
Se 0.000 0.000 0.500
Se 0.333 0.667 0.329
Ho 0.667 0.333 0.412
Ho 0.333 0.667 0.588
Pa 0.333 0.667 0.180
Pa 0.667 0.333 0.820


# 4
A relaxed Ho2PaSe6 crystal. Source: Alexandria, functional PBE-GGA.

## Properties
Total moment (μB/f.u.): 0.000
Raw formation energy (eV per atom): -1.42

Cell: 6.673 6.673 12.555 Å, 90.00 90.00 90.00°
Positions (direct):
Ho 0.000 0.000 0.334
Ho 0.000 0.000 0.666
Ho 0.500 0.500 0.166
Ho 0.500 0.500 0.834
Se 0.795 0.205 0.500
Se 0.198 0.802 0.163
Se 0.198 0.802 0.837
Se 0.802 0.198 0.163
Se 0.802 0.198 0.837
Se 0.698 0.698 0.663
Se 0.302 0.302 0.663
Se 0.302 0.302 0.337
Se 0.698 0.698 0.337
Se 0.205 0.795 0.500
Se 0.295 0.295 0.000
Se 0.705 0.705 0.000
Pa 0.000 0.000 0.000
Pa 0.500 0.500 0.500


# 5
A relaxed HoPa2Se5 crystal. Source: Alexandria, functional PBE-GGA.

## Properties
Total moment (μB/f.u.): 2.977
Raw formation energy (eV per atom): -1.40
Excess energy over the best structure of this formula in the dataset (meV per atom): 57.4

Cell: 7.609 7.609 8.572 Å, 116.35 116.35 90.00°
Positions (direct):
Se 0.500 0.500 0.000
Se 0.191 0.012 0.703
Se 0.691 0.191 0.703
Se 0.988 0.488 0.297
Se 0.809 0.988 0.297
Se 0.309 0.809 0.297
Se 0.512 0.691 0.703
Se 0.488 0.309 0.297
Se 0.000 0.000 0.000
Se 0.012 0.512 0.703
Pa 0.648 0.148 0.000
Pa 0.852 0.648 0.000
Pa 0.352 0.852 0.000
Pa 0.148 0.352 0.000
Ho 0.250 0.250 0.500
Ho 0.750 0.750 0.500


# 6
A relaxed HoPaSe2 crystal. Source: Alexandria, functional PBE-GGA.

## Properties
Total moment (μB/f.u.): 1.456
Raw formation energy (eV per atom): -0.97
Excess energy over the best structure of this formula in the dataset (meV per atom): 497.8

Cell: 3.863 3.863 9.513 Å, 78.29 78.29 60.00°
Positions (direct):
Ho 0.000 0.000 0.000
Se 0.900 0.900 0.301
Se 0.100 0.100 0.699
Pa 0.500 0.500 0.500